1.
A plane-wave DFT calculation with meta-GGA SCAN was carried out for a PBEsol-optimized structure of AsPSN2.

abc: 3.661 3.661 4.811
angles: 90.00 90.00 90.00
Element x y z (fractional)
N (0.500, 0.000, 0.000)
S (0.000, 0.000, 0.500)
As (0.000, 0.000, 0.000)
N (0.000, 0.500, 0.000)
P (0.500, 0.500, 0.500)

Computed properties:
E_tot ... -10.243 eV per atom

---

2.
A plane-wave DFT calculation with meta-GGA SCAN was carried out for a PBEsol-optimized structure of As2PbN.

abc: 4.686 4.686 4.686
angles: 60.00 60.00 60.00
Element x y z (fractional)
Pb (0.500, 0.500, 0.500)
As (0.750, 0.750, 0.750)
N (0.000, 0.000, 0.000)
As (0.250, 0.250, 0.250)

Computed properties:
E_tot ... -29.946 eV per atom